Model A:
Density functional theory data (PBE-GGA) for a relaxed structure of TeCl4.

Unit cell a=5.5465 b=5.5465 c=5.5465 alpha=109.47 beta=109.47 gamma=109.47
Element x y z (fractional)
Te (0.0000, 0.0000, 0.0000)
Cl (0.0000, 0.0000, 0.5000)
Cl (0.0000, 0.5000, 0.0000)
Cl (0.5000, 0.0000, 0.0000)
Cl (0.5000, 0.5000, 0.5000)

Model B:
Density functional theory data (PBE-GGA) for a relaxed structure of TeCl4.

Unit cell a=10.7608 b=10.7608 c=16.5087 alpha=112.64 beta=112.64 gamma=62.49
Element x y z (fractional)
Te (0.2381, 0.7587, 0.6166)
Te (0.2413, 0.7619, 0.8834)
Te (0.3506, 0.3839, 0.1851)
Te (0.3839, 0.3506, 0.6851)
Te (0.6161, 0.6494, 0.3149)
Te (0.6494, 0.6161, 0.8149)
Te (0.7587, 0.2381, 0.1166)
Te (0.7619, 0.2413, 0.3834)
Cl (0.0262, 0.9700, 0.6269)
Cl (0.0300, 0.9738, 0.8731)
Cl (0.1353, 0.6247, 0.6907)
Cl (0.1399, 0.6424, 0.4677)
Cl (0.1442, 0.6492, 0.9286)
Cl (0.1473, 0.6048, 0.1916)
Cl (0.2584, 0.2799, 0.0309)
Cl (0.2661, 0.2762, 0.2435)
Cl (0.2762, 0.2661, 0.7435)
Cl (0.2799, 0.2584, 0.5309)
Cl (0.3508, 0.8558, 0.5714)
Cl (0.3576, 0.8601, 0.0323)
Cl (0.3753, 0.8647, 0.8093)
Cl (0.3952, 0.8527, 0.3084)
Cl (0.4966, 0.5013, 0.1310)
Cl (0.4987, 0.5034, 0.3690)
Cl (0.5013, 0.4966, 0.6310)
Cl (0.5034, 0.4987, 0.8690)
Cl (0.6048, 0.1473, 0.6916)
Cl (0.6247, 0.1353, 0.1907)
Cl (0.6424, 0.1399, 0.9677)
Cl (0.6492, 0.1442, 0.4286)
Cl (0.7201, 0.7416, 0.4691)
Cl (0.7238, 0.7339, 0.2565)
Cl (0.7339, 0.7238, 0.7565)
Cl (0.7416, 0.7201, 0.9691)
Cl (0.8527, 0.3952, 0.8084)
Cl (0.8558, 0.3508, 0.0714)
Cl (0.8601, 0.3576, 0.5323)
Cl (0.8647, 0.3753, 0.3093)
Cl (0.9700, 0.0262, 0.1269)
Cl (0.9738, 0.0300, 0.3731)

Model C:
Density functional theory data (PBE-GGA) for a relaxed structure of TeCl4.

Unit cell a=7.0221 b=7.9599 c=7.0310 alpha=90.00 beta=106.69 gamma=90.00
Element x y z (fractional)
Te (0.0000, 0.1394, 0.2500)
Te (0.0000, 0.8606, 0.7500)
Cl (0.2138, 0.3402, 0.4492)
Cl (0.2138, 0.6598, 0.9492)
Cl (0.2236, 0.1271, 0.0178)
Cl (0.2236, 0.8729, 0.5178)
Cl (0.7764, 0.1271, 0.4822)
Cl (0.7764, 0.8729, 0.9822)
Cl (0.7862, 0.3402, 0.0508)
Cl (0.7862, 0.6598, 0.5508)

Model D:
Density functional theory data (PBE-GGA) for a relaxed structure of TeCl4.

Unit cell a=5.2376 b=5.2376 c=5.2376 alpha=90.00 beta=90.00 gamma=90.00
Element x y z (fractional)
Te (0.0000, 0.0000, 0.0000)
Cl (0.0000, 0.0000, 0.5000)
Cl (0.0000, 0.5000, 0.0000)
Cl (0.5000, 0.0000, 0.0000)
Cl (0.5000, 0.5000, 0.5000)

What should be chosen as the most stable of them? Choose model B.

Model A:
Density functional theory data (PBE-GGA) for a relaxed structure of ThTeCl2.

Unit cell a=6.4801 b=4.2271 c=8.3050 alpha=90.00 beta=101.23 gamma=90.00
Element x y z (fractional)
Th (0.1851, 0.2500, 0.2724)
Th (0.8149, 0.7500, 0.7276)
Te (0.2587, 0.7500, 0.5608)
Te (0.7413, 0.2500, 0.4392)
Cl (0.0987, 0.2500, 0.8730)
Cl (0.3972, 0.7500, 0.1507)
Cl (0.6028, 0.2500, 0.8493)
Cl (0.9013, 0.7500, 0.1270)

Model B:
Density functional theory data (PBE-GGA) for a relaxed structure of ThTeCl2.

Unit cell a=6.0748 b=6.0748 c=8.9901 alpha=90.00 beta=90.00 gamma=138.03
Element x y z (fractional)
Th (0.2493, 0.7507, 0.7500)
Th (0.7507, 0.2493, 0.2500)
Te (0.0529, 0.9471, 0.2500)
Te (0.9471, 0.0529, 0.7500)
Cl (0.3427, 0.6573, 0.0654)
Cl (0.3427, 0.6573, 0.4346)
Cl (0.6573, 0.3427, 0.5654)
Cl (0.6573, 0.3427, 0.9346)

What should be chosen as the most stable of them? Choose model A.

Model A:
Density functional theory data (PBE-GGA) for a relaxed structure of TiTe2Cl.

Unit cell a=5.0450 b=5.0450 c=5.0450 alpha=60.00 beta=60.00 gamma=60.00
Element x y z (fractional)
Ti (0.0000, 0.0000, 0.0000)
Te (0.2500, 0.2500, 0.2500)
Te (0.7500, 0.7500, 0.7500)
Cl (0.5000, 0.5000, 0.5000)

Model B:
Density functional theory data (PBE-GGA) for a relaxed structure of TiTe2Cl.

Unit cell a=8.9427 b=8.9427 c=8.9427 alpha=25.26 beta=25.26 gamma=25.26
Element x y z (fractional)
Ti (0.0000, 0.0000, 0.0000)
Te (0.3953, 0.3953, 0.3953)
Te (0.6047, 0.6047, 0.6047)
Cl (0.5000, 0.5000, 0.5000)

What should be chosen as the most stable of them? Choose model B.